1.
# PrNdTc2O8

Crystalline PrNdTc2O8 at its relaxed geometry (PBE-GGA, Alexandria via LeMat-Bulk).

Results
Total magnetization = 4.03 μB/cell
ΔE_f (raw) = -2.20 eV/atom
Crystal system = tetragonal
Calculated density = 6072 kg/m³

a b c (Å): 6.9531 6.9531 6.9531
angles (deg): 134.82 134.82 65.81
Positions (direct):
Pr (0.0000, 0.0000, 0.0000)
Nd (0.2500, 0.7500, 0.5000)
Tc (0.5000, 0.5000, 0.0000)
Tc (0.7500, 0.2500, 0.5000)
O (0.2590, 0.6659, 0.0939)
O (0.3341, 0.4280, 0.5930)
O (0.4164, 0.0072, 0.0909)
O (0.5720, 0.1651, 0.9061)
O (0.6745, 0.5836, 0.5908)
O (0.8349, 0.7410, 0.4070)
O (0.9163, 0.3255, 0.9091)
O (0.9928, 0.0837, 0.4092)

=====

2.
# PrNdTe2O8

Crystalline PrNdTe2O8 at its relaxed geometry (PBE-GGA, Alexandria via LeMat-Bulk).

Results
Total magnetization = 0.00 μB/cell
ΔE_f (raw) = -1.91 eV/atom
Crystal system = tetragonal
Calculated density = 5451 kg/m³

a b c (Å): 6.4299 6.4299 6.4299
angles (deg): 107.19 107.19 114.14
Positions (direct):
Pr (0.0000, 0.0000, 0.0000)
Nd (0.2500, 0.7500, 0.5000)
Te (0.5000, 0.5000, 0.0000)
Te (0.7500, 0.2500, 0.5000)
O (0.3058, 0.1218, 0.8161)
O (0.3058, 0.4897, 0.1839)
O (0.3737, 0.0557, 0.3180)
O (0.5103, 0.6942, 0.8161)
O (0.7376, 0.0557, 0.6820)
O (0.8782, 0.6942, 0.1839)
O (0.9443, 0.2624, 0.3180)
O (0.9443, 0.6263, 0.6820)

=====

3.
# PrNdTeO6

Crystalline PrNdTeO6 at its relaxed geometry (PBE-GGA, Alexandria via LeMat-Bulk).

Results
Total magnetization = 0.00 μB/cell
ΔE_f (raw) = -2.34 eV/atom
Crystal system = trigonal
Calculated density = 6051 kg/m³

a b c (Å): 5.7653 5.7653 9.7001
angles (deg): 90.00 90.00 120.00
Positions (direct):
Pr (0.0000, 0.0000, 0.0000)
Pr (0.0000, 0.0000, 0.5000)
Nd (0.3333, 0.6667, 0.2500)
Nd (0.6667, 0.3333, 0.7500)
Te (0.3333, 0.6667, 0.7500)
Te (0.6667, 0.3333, 0.2500)
O (0.0547, 0.3818, 0.6364)
O (0.0547, 0.6729, 0.8636)
O (0.3271, 0.3818, 0.8636)
O (0.3271, 0.9453, 0.6364)
O (0.3818, 0.0547, 0.1364)
O (0.3818, 0.3271, 0.3636)
O (0.6182, 0.6729, 0.6364)
O (0.6182, 0.9453, 0.8636)
O (0.6729, 0.0547, 0.3636)
O (0.6729, 0.6182, 0.1364)
O (0.9453, 0.3271, 0.1364)
O (0.9453, 0.6182, 0.3636)